## Na2Ga2CoO6 (PBE with a Hubbard U)

Data for Na2Ga2CoO6 after structural relaxation.

Cell and atoms, written as POSCAR:
```
Na2Ga2CoO6
1.0
2.5656 -4.3964 0.0000
2.5656 4.3964 0.0000
-1.6744 0.0000 5.5043
Na Ga Co O
2 2 1 6
Direct
0.1660 0.8340 0.0000
0.8340 0.1660 0.0000
0.3349 0.6651 0.5000
0.6651 0.3349 0.5000
0.0000 0.0000 0.5000
0.0570 0.3793 0.6864
0.2549 0.2549 0.3152
0.3793 0.0570 0.6864
0.6207 0.9430 0.3136
0.7451 0.7451 0.6848
0.9430 0.6207 0.3136
```

Values from the calculation:
* calculated total energy: -5.50 eV per atom
* space-group type: C2/m (12)
* crystal system: monoclinic